The following is a DFT calculation (GGA-PBE) of crystalline Be2C at its relaxed geometry.

a b c (Å): 7.816 2.961 4.217
angles (deg): 90.00 106.34 90.00
Space group Cm (No. 8)
Unique sites:
Be (0.000, 0.000, 0.000) x2
Be (0.104, 0.000, 0.571) x2
Be (0.229, 0.500, 0.938) x2
Be (0.358, 0.000, 0.315) x2
C (0.004, 0.500, 0.717) x2
C (0.342, 0.000, 0.858) x2

Properties
The calculation puts the formation energy at 0.266 eV/atom. Its energy relative to the lowest polymorph listed for this composition is 1.52 eV per formula unit.